Entry 1:
VASP calculation (meta-GGA SCAN) on a PBEsol-optimized structure of Si2Ni2Pt.

```
Si2Ni2Pt
1.0
-0.834 0.352 -2.706
4.630 -4.091 -1.960
-4.121 -4.964 0.625
Ni Si Pt
4 4 2
Direct
0.500 0.139 0.639
0.500 0.639 0.861
0.500 0.861 0.361
0.500 0.361 0.139
0.000 0.351 0.851
0.000 0.851 0.649
0.000 0.649 0.149
0.000 0.149 0.351
0.000 0.000 0.000
0.000 0.500 0.500
```

Raw total energy in eV/f.u.: -125.34
Total moment in μB per formula unit: 0.0

Entry 2:
VASP calculation (meta-GGA SCAN) on a PBEsol-optimized structure of Si3NiPt.

```
Si3NiPt
1.0
-3.816 1.924 0.182
-1.913 -3.818 0.248
0.274 0.140 4.267
Ni Si Pt
1 3 1
Direct
0.000 0.000 0.000
0.000 0.500 0.000
0.000 0.000 0.500
0.500 0.000 0.000
0.500 0.500 0.500
```

Raw total energy in eV/f.u.: -114.24
Total moment in μB per formula unit: 0.0

Entry 3:
VASP calculation (meta-GGA SCAN) on a PBEsol-optimized structure of SiNiPt4.

```
SiNiPt4
1.0
5.151 0.000 0.000
2.576 4.461 0.000
2.576 1.487 4.206
Ni Pt Si
1 4 1
Direct
0.000 0.000 0.000
0.375 0.375 0.375
0.375 0.375 0.876
0.876 0.375 0.375
0.375 0.876 0.375
0.750 0.750 0.750
```

Raw total energy in eV/f.u.: -305.06
Total moment in μB per formula unit: 1.2

Entry 4:
VASP calculation (meta-GGA SCAN) on a PBEsol-optimized structure of Si2NiPt.

```
Si2NiPt
1.0
3.288 0.000 0.000
0.000 3.250 0.000
0.000 0.000 4.837
Ni Si Pt
1 2 1
Direct
0.000 0.000 0.452
0.000 0.000 0.976
0.500 0.500 0.289
0.500 0.500 0.784
```

Raw total energy in eV/f.u.: -108.61
Total moment in μB per formula unit: 0.0

Entry 5:
VASP calculation (meta-GGA SCAN) on a PBEsol-optimized structure of Sr2NiPt.

```
Sr2NiPt
1.0
4.353 0.000 0.000
0.000 4.426 0.000
0.000 -2.213 5.327
Sr Pt Ni
2 1 1
Direct
0.500 0.979 0.959
0.000 0.267 0.533
0.500 0.676 0.352
0.000 0.578 0.156
```

Raw total energy in eV/f.u.: -132.95
Formation energy from the elements in meV/atom: -508
Total moment in μB per formula unit: 0.0

Entry 6:
VASP calculation (meta-GGA SCAN) on a PBEsol-optimized structure of SrNi2Pt.

```
SrNi2Pt
1.0
-0.415 -1.505 -3.441
3.602 -1.920 0.405
-1.910 -3.236 1.646
Ni Pt Sr
2 1 1
Direct
0.000 0.000 0.500
0.000 0.500 0.000
0.500 0.500 0.500
0.500 0.000 0.000
```

Raw total energy in eV/f.u.: -124.17
Formation energy from the elements in meV/atom: 160
Total moment in μB per formula unit: 1.1

Q: Look up the total moment of the first one.
A: 0.0 μB per formula unit

Q: The lowest raw total energy belongs to which entry?
A: SiNiPt4

What did the sixth record say?
VASP calculation (meta-GGA SCAN) on a PBEsol-optimized structure of SrNi2Pt.

```
SrNi2Pt
1.0
-0.415 -1.505 -3.441
3.602 -1.920 0.405
-1.910 -3.236 1.646
Ni Pt Sr
2 1 1
Direct
0.000 0.000 0.500
0.000 0.500 0.000
0.500 0.500 0.500
0.500 0.000 0.000
```

Raw total energy in eV/f.u.: -124.17
Formation energy from the elements in meV/atom: 160
Total moment in μB per formula unit: 1.1